VASP calculation (PBE-GGA) on an optimized crystal structure of Ba2Na3Hg6.

Values from the calculation:
DFT total energy = -1.171 eV per atom
DOS(E_F) = 6.83 states/eV/f.u.
formation energy from the elements = -0.30 eV per atom

Lattice parameters (Å, degrees): 8.940 8.940 4.585 90.00 90.00 101.60
Element x y z (fractional)
Ba: 0.197 0.803 0.000
Ba: 0.803 0.197 0.000
Na: 0.303 0.303 0.000
Na: 0.500 0.500 0.500
Na: 0.697 0.697 0.000
Hg: 0.128 0.128 0.500
Hg: 0.154 0.476 0.500
Hg: 0.476 0.154 0.500
Hg: 0.524 0.846 0.500
Hg: 0.846 0.524 0.500
Hg: 0.872 0.872 0.500

VASP calculation (PBE-GGA) on an optimized crystal structure of Ac8Ho2Er3.

Values from the calculation:
DFT total energy = -4.054 eV per atom
DOS(E_F) = 16.29 states/eV/f.u.
formation energy from the elements = 0.23 eV per atom

Lattice parameters (Å, degrees): 11.125 11.125 6.094 90.00 90.00 134.99
Element x y z (fractional)
Ac: 0.126 0.874 0.000
Ac: 0.189 0.400 0.500
Ac: 0.324 0.676 0.000
Ac: 0.400 0.189 0.500
Ac: 0.600 0.811 0.500
Ac: 0.676 0.324 0.000
Ac: 0.811 0.600 0.500
Ac: 0.874 0.126 0.000
Ho: 0.237 0.763 0.500
Ho: 0.763 0.237 0.500
Er: 0.000 0.000 0.500
Er: 0.299 0.299 0.000
Er: 0.701 0.701 0.000

VASP calculation (PBE-GGA) on an optimized crystal structure of MgZnInAg2.

Values from the calculation:
DFT total energy = -1.780 eV per atom
DOS(E_F) = 1.97 states/eV/f.u.
formation energy from the elements = 0.48 eV per atom

Lattice parameters (Å, degrees): 5.177 5.177 5.033 90.00 90.00 90.00
Element x y z (fractional)
Mg: 0.000 0.000 0.000
Zn: 0.000 0.000 0.500
In: 0.500 0.500 0.500
Ag: 0.000 0.500 0.000
Ag: 0.500 0.000 0.000